1) The following is a PBE calculation of CrRePt2 after structural relaxation, from the Alexandria database.

Unit cell a=3.829 b=3.829 c=3.996 alpha=90.00 beta=90.00 gamma=90.00
Atoms (fractional coordinates):
Cr1 0.000 0.000 0.000
Re1 0.500 0.500 0.000
Pt1 0.000 0.500 0.500
Pt2 0.500 0.000 0.500

* symmetry: No. 123

=====

2) The following is a PBE calculation of CrRePt2 after structural relaxation, from the Alexandria database.

Unit cell a=4.772 b=4.772 c=4.708 alpha=99.70 beta=99.70 gamma=33.75
Atoms (fractional coordinates):
Cr1 0.000 0.000 0.000
Re1 0.500 0.500 0.500
Pt1 0.251 0.251 0.750
Pt2 0.749 0.749 0.250

* symmetry: No. 12

=====

3) The following is a PBE calculation of CrRePt2 after structural relaxation, from the Alexandria database.

Unit cell a=2.729 b=3.983 c=5.406 alpha=90.00 beta=90.00 gamma=90.00
Atoms (fractional coordinates):
Cr1 0.000 0.000 0.000
Re1 0.000 0.000 0.500
Pt1 0.500 0.500 0.251
Pt2 0.500 0.500 0.749

* symmetry: No. 47

=====

Most stable one: 1), least stable one: 2).

=====

1) The following is a PBE calculation of CrRePt2 after structural relaxation, from the Alexandria database.

Unit cell a=4.430 b=4.430 c=4.430 alpha=60.00 beta=60.00 gamma=60.00
Atoms (fractional coordinates):
Cr1 0.000 0.000 0.000
Re1 0.500 0.500 0.500
Pt1 0.250 0.250 0.250
Pt2 0.750 0.750 0.750

* symmetry: No. 225

=====

2) The following is a PBE calculation of CrRePt2 after structural relaxation, from the Alexandria database.

Unit cell a=9.049 b=9.049 c=9.049 alpha=17.48 beta=17.48 gamma=17.48
Atoms (fractional coordinates):
Cr1 0.000 0.000 0.000
Re1 0.500 0.500 0.500
Pt1 0.252 0.252 0.252
Pt2 0.748 0.748 0.748

* symmetry: No. 166

=====

Most stable one: 2), least stable one: 1).